CoAg2P: optimized geometry, GGA-PBE.

Computed properties:
magnetic moment = 0.0 μB/cell
D(E_F) = 0.9568 states/eV per atom
electronic total energy = -4.021 eV/atom
crystal system = tetragonal
symmetry = I-42d (122)

The structure in POSCAR format:
```
CoAg2P
1.0
3.6710 0.0000 0.0000
0.0000 3.6710 0.0000
0.0000 0.0000 19.0471
Co Ag P
4 8 4
Cartesian
0.0000 0.0000 0.0000
0.0000 1.8355 4.7618
1.8355 0.0000 14.2853
1.8355 1.8355 9.5236
0.9194 0.9178 2.3809
0.9161 0.9178 11.9044
0.9178 2.7549 7.1427
0.9178 2.7517 16.6662
2.7533 0.9161 7.1427
2.7533 0.9194 16.6662
2.7517 2.7533 2.3809
2.7549 2.7533 11.9044
0.0000 0.0000 9.5236
0.0000 1.8355 14.2853
1.8355 0.0000 4.7618
1.8355 1.8355 0.0000
```